(1)
Density functional theory data (GGA-PBE) for an optimized crystal structure of KCaMg.

abc: 5.9405 5.9405 5.9405
angles: 60.00 60.00 60.00
Positions (direct):
K 0.0000 0.0000 0.0000
Ca 0.2500 0.2500 0.2500
Mg 0.7500 0.7500 0.7500

Summary:
E_form: 565 meV per atom
final energy: -1.000 eV/atom

=====

(2)
Density functional theory data (GGA-PBE) for an optimized crystal structure of MgMnAu2.

abc: 9.1759 9.1759 9.1759
angles: 19.06 19.06 19.06
Positions (direct):
Mg 0.0000 0.0000 0.0000
Mn 0.7533 0.7533 0.7533
Au 0.2530 0.2530 0.2530
Au 0.4968 0.4968 0.4968

Summary:
E_form: 21 meV per atom
final energy: -4.309 eV/atom

=====

(3)
Density functional theory data (GGA-PBE) for an optimized crystal structure of ScCrCoTc.

abc: 4.2939 4.2939 4.2939
angles: 60.00 60.00 60.00
Positions (direct):
Sc 0.0000 0.0000 0.0000
Cr 0.5000 0.5000 0.5000
Co 0.2500 0.2500 0.2500
Tc 0.7500 0.7500 0.7500

Summary:
E_form: -29 meV per atom
final energy: -8.386 eV/atom